5
Lattice="-4.6156 1.8982 0.9792 -1.9179 -2.4109 -4.3672 -1.1094 -4.1230 2.7633" Properties=species:S:1:pos:R:3 comment="SnHWAu2 (GGA-PBE, optimized geometry)" e_tot_ev_per_atom=-3.99 spacegroup=P4/mmm pbc="T T T"
H -3.8215 -2.3179 -0.3124
Au -0.5547 -2.0615 1.3817
Au -2.3078 0.9491 0.4896
Sn -0.9590 -1.2055 -2.1836
W 0.0000 0.0000 0.0000

14
Lattice="7.5703 0.2313 -0.1305 -0.3194 7.4884 0.1291 -3.5024 -3.9726 6.8615" Properties=species:S:1:pos:R:3 comment="Te4Pd2Se (GGA-PBE, optimized geometry)" e_form_raw_mev_per_atom=-209 spacegroup=Cc pbc="T T T"
Te 5.6637 0.1532 2.2565
Te 1.8072 3.7660 1.1066
Te 3.8075 1.9019 4.5933
Te 3.9277 -1.8227 4.5289
Te 1.9902 0.0008 2.3207
Te 0.1610 -1.9559 5.6327
Te 0.0408 1.7692 5.6971
Te 5.4803 3.9185 1.0451
Pd 1.9841 -0.0267 5.1139
Pd 3.5754 5.7040 1.7468
Pd 3.7352 1.9596 1.6823
Pd -1.8010 -0.1423 5.1775
Se -0.0900 3.6842 3.7304
Se 3.7490 3.7508 6.6245